Density functional theory data (PBE with a Hubbard U) for a geometry-optimized Cd2MoO5 structure.

Cell: 6.094 6.094 10.852 Å, 90.00 90.00 143.03°
Atoms (fractional coordinates):
1 Cd 0.142 0.858 0.567
2 Cd 0.142 0.858 0.933
3 Cd 0.858 0.142 0.067
4 Cd 0.858 0.142 0.433
5 Mo 0.155 0.845 0.250
6 Mo 0.845 0.155 0.750
7 O 0.046 0.954 0.125
8 O 0.046 0.954 0.375
9 O 0.281 0.719 0.115
10 O 0.281 0.719 0.385
11 O 0.325 0.675 0.750
12 O 0.675 0.325 0.250
13 O 0.719 0.281 0.615
14 O 0.719 0.281 0.885
15 O 0.954 0.046 0.625
16 O 0.954 0.046 0.875

Calculated values
Energy relative to the lowest polymorph listed for this composition ... 0 meV/atom
Energy ... -0.203 Ha/atom
Total magnetization ... 0.0 μB/cell
Volume ... 121.2 Å³/f.u.